Below is a relaxed structure of KTl3Rh, with properties calculated at the PBEsol level.

As for the calculated total energy: -3.48 eV per atom. As for the crystal system: cubic. The total magnetization is 0.00 μB per cell.

It has space group Pm-3m (No. 221), with a = 5.243 Å, b = 5.243 Å, c = 5.243 Å, α = 90.00°, β = 90.00° and γ = 90.00°. The distinct sites, in fractional coordinates, are K at (0.000, 0.000, 0.000), Tl at (0.000, 0.500, 0.500) and Rh at (0.500, 0.500, 0.500).